1.
# TmHf2Pa, relaxed, DFT PBE-GGA
data_TmHf2Pa
_cell_length_a 10.970
_cell_length_b 10.970
_cell_length_c 10.970
_cell_angle_alpha 17.08
_cell_angle_beta 17.08
_cell_angle_gamma 17.08
_symmetry_space_group_name_H-M 'P 1'
_symmetry_Int_Tables_number 1
loop_
_symmetry_equiv_pos_as_xyz
'x,y,z'
loop_
_atom_site_label
_atom_site_type_symbol
_atom_site_fract_x
_atom_site_fract_y
_atom_site_fract_z
Tm1 Tm 0.000 0.000 0.000
Hf1 Hf 0.248 0.248 0.248
Hf2 Hf 0.752 0.752 0.752
Pa1 Pa 0.500 0.500 0.500
# E_tot	-8.312	eV per atom

***

2.
# SiSbTe2I, relaxed, DFT PBE-GGA
data_SiSbTe2I
_cell_length_a 5.806
_cell_length_b 5.806
_cell_length_c 5.777
_cell_angle_alpha 90.00
_cell_angle_beta 90.00
_cell_angle_gamma 90.00
_symmetry_space_group_name_H-M 'P 1'
_symmetry_Int_Tables_number 1
loop_
_symmetry_equiv_pos_as_xyz
'x,y,z'
loop_
_atom_site_label
_atom_site_type_symbol
_atom_site_fract_x
_atom_site_fract_y
_atom_site_fract_z
Si1 Si 0.000 0.000 0.000
Sb1 Sb 0.500 0.500 0.500
Te1 Te 0.000 0.500 0.500
Te2 Te 0.500 0.000 0.500
I1 I 0.500 0.500 0.000
# formation energy without anion corrections	4.08	eV/f.u.
# E_tot	-2.659	eV per atom

***

3.
# K4Rb5Na2, relaxed, DFT PBE-GGA
data_K4Rb5Na2
_cell_length_a 16.214
_cell_length_b 16.214
_cell_length_c 12.036
_cell_angle_alpha 111.44
_cell_angle_beta 111.44
_cell_angle_gamma 16.29
_symmetry_space_group_name_H-M 'P 1'
_symmetry_Int_Tables_number 1
loop_
_symmetry_equiv_pos_as_xyz
'x,y,z'
loop_
_atom_site_label
_atom_site_type_symbol
_atom_site_fract_x
_atom_site_fract_y
_atom_site_fract_z
K1 K 0.013 0.013 0.342
K2 K 0.272 0.272 0.205
K3 K 0.728 0.728 0.795
K4 K 0.987 0.987 0.658
Rb1 Rb 0.129 0.129 0.955
Rb2 Rb 0.165 0.165 0.402
Rb3 Rb 0.500 0.500 0.000
Rb4 Rb 0.835 0.835 0.598
Rb5 Rb 0.871 0.871 0.045
Na1 Na 0.405 0.405 0.379
Na2 Na 0.595 0.595 0.621
# E_tot	-1.040	eV per atom

***

4.
# Zr3ReTc2, relaxed, DFT PBE-GGA
data_Zr3ReTc2
_cell_length_a 3.295
_cell_length_b 3.295
_cell_length_c 9.904
_cell_angle_alpha 90.00
_cell_angle_beta 90.00
_cell_angle_gamma 90.00
_symmetry_space_group_name_H-M 'P 1'
_symmetry_Int_Tables_number 1
loop_
_symmetry_equiv_pos_as_xyz
'x,y,z'
loop_
_atom_site_label
_atom_site_type_symbol
_atom_site_fract_x
_atom_site_fract_y
_atom_site_fract_z
Zr1 Zr 0.000 0.000 0.000
Zr2 Zr 0.000 0.000 0.332
Zr3 Zr 0.000 0.000 0.668
Re1 Re 0.500 0.500 0.500
Tc1 Tc 0.500 0.500 0.166
Tc2 Tc 0.500 0.500 0.834
# E_tot	-10.105	eV per atom